(1)
# NbTl2HgSe4 PBE relaxed
# Magnetization, μB/f.u.: 0.00
# Electronic total energy, eV/atom: -4.06
data_NbTl2HgSe4
_symmetry_space_group_name_H-M 'P 1'
_symmetry_Int_Tables_number 1
_cell_length_a 7.011
_cell_length_b 7.011
_cell_length_c 7.011
_cell_angle_alpha 109.37
_cell_angle_beta 109.37
_cell_angle_gamma 109.67
loop_
_symmetry_equiv_pos_as_xyz
'x,y,z'
loop_
_atom_site_label
_atom_site_fract_x
_atom_site_fract_y
_atom_site_fract_z
_atom_site_occupancy
Nb1 0.000 0.000 0.000 1
Tl1 0.500 0.500 0.000 1
Tl2 0.750 0.250 0.500 1
Hg1 0.250 0.750 0.500 1
Se1 0.011 0.985 0.653 1
Se2 0.015 0.667 0.026 1
Se3 0.333 0.358 0.347 1
Se4 0.642 0.989 0.974 1

=====

(2)
# Tm4NiTe2As PBE relaxed
# Magnetization, μB/f.u.: 0.00
# Electronic total energy, eV/atom: -5.40
data_Tm4NiTe2As
_symmetry_space_group_name_H-M 'P 1'
_symmetry_Int_Tables_number 1
_cell_length_a 7.215
_cell_length_b 4.065
_cell_length_c 7.373
_cell_angle_alpha 90.00
_cell_angle_beta 108.68
_cell_angle_gamma 90.00
loop_
_symmetry_equiv_pos_as_xyz
'x,y,z'
loop_
_atom_site_label
_atom_site_fract_x
_atom_site_fract_y
_atom_site_fract_z
_atom_site_occupancy
Tm1 0.221 0.000 0.204 1
Tm2 0.254 0.500 0.784 1
Tm3 0.746 0.500 0.216 1
Tm4 0.779 0.000 0.796 1
Ni1 0.000 0.500 0.000 1
Te1 0.000 0.000 0.500 1
Te2 0.500 0.500 0.500 1
As1 0.500 0.000 0.000 1